(1)
Material: LaSmNiRh
Method: DFT, PBE-GGA
State: optimized geometry

Lattice parameters (Å, degrees): 4.2932 5.7481 5.7481 39.74 90.00 90.00
Positions (direct):
La 0.0000 0.0000 0.0000
Sm 0.5000 0.7236 0.7236
Ni 0.5000 0.4391 0.4391
Rh 0.0000 0.2757 0.2757

Output
formation enthalpy at 0 K = -554 meV per atom
total DFT energy (no corrections) = -6.25 eV/atom

***

(2)
Material: La2Ni3Sn4Rh
Method: DFT, PBE-GGA
State: optimized geometry

Lattice parameters (Å, degrees): 4.5059 4.5059 10.3877 90.00 90.00 90.00
Positions (direct):
La 0.0000 0.5000 0.2453
La 0.5000 0.0000 0.7547
Ni 0.0000 0.0000 0.0000
Ni 0.0000 0.5000 0.6260
Ni 0.5000 0.0000 0.3740
Sn 0.0000 0.0000 0.5000
Sn 0.0000 0.5000 0.8693
Sn 0.5000 0.0000 0.1307
Sn 0.5000 0.5000 0.5000
Rh 0.5000 0.5000 0.0000

Output
formation enthalpy at 0 K = -609 meV per atom
total DFT energy (no corrections) = -5.66 eV/atom

***

(3)
Material: La2Ni4Sn3Rh
Method: DFT, PBE-GGA
State: optimized geometry

Lattice parameters (Å, degrees): 4.3113 4.3113 10.6528 90.00 90.00 90.00
Positions (direct):
La 0.0000 0.5000 0.2419
La 0.5000 0.0000 0.7581
Ni 0.0000 0.0000 0.5000
Ni 0.0000 0.5000 0.8653
Ni 0.5000 0.0000 0.1347
Ni 0.5000 0.5000 0.5000
Sn 0.0000 0.0000 0.0000
Sn 0.0000 0.5000 0.6257
Sn 0.5000 0.0000 0.3743
Rh 0.5000 0.5000 0.0000

Output
formation enthalpy at 0 K = -483 meV per atom
total DFT energy (no corrections) = -5.72 eV/atom